(1)
The following is a PBE-GGA calculation of a relaxed structure of SmDyY3Er, from the Alexandria database.

Properties
* formation energy from the elements: 0.1 eV per formula unit
* N(E_F): 1.3957 states/eV/atom
* SG: Cmcm (63)

Cell lengths 5.040, 7.975, 10.082 Å; angles 90.00, 90.00, 108.42 degrees
Positions (direct):
1 Y 0.833 0.666 0.250
2 Y 0.667 0.333 0.000
3 Y 0.167 0.334 0.750
4 Y 0.333 0.667 0.500
5 Y 0.333 0.667 0.000
6 Y 0.667 0.333 0.500
7 Er 0.166 0.332 0.250
8 Er 0.834 0.668 0.750
9 Dy 0.501 0.001 0.250
10 Dy 0.499 0.999 0.750
11 Sm 0.000 0.000 0.000
12 Sm 0.000 0.000 0.500

***

(2)
The following is a PBE-GGA calculation of a relaxed structure of Sm4Dy4Ho, from the Alexandria database.

Properties
* formation energy from the elements: 0.2 eV per formula unit
* N(E_F): 1.4453 states/eV/atom
* SG: I4/mmm (139)
* energy above the most stable polymorph in this dataset: 0.000 eV per atom

Cell lengths 5.049, 8.004, 8.004 Å; angles 84.29, 71.62, 71.62 degrees
Positions (direct):
1 Sm 0.667 0.000 0.667
2 Sm 0.667 0.667 0.000
3 Sm 0.333 0.333 0.000
4 Sm 0.333 0.000 0.333
5 Dy 0.000 0.666 0.334
6 Dy 0.666 0.334 0.334
7 Dy 0.334 0.666 0.666
8 Dy 0.000 0.334 0.666
9 Ho 0.000 0.000 0.000

***

(3)
The following is a PBE-GGA calculation of a relaxed structure of Nd10Ga3Ge3, from the Alexandria database.

Properties
* formation energy from the elements: -8.9 eV per formula unit
* N(E_F): 1.0503 states/eV/atom
* SG: P-62m (189)

Cell lengths 6.860, 8.825, 8.825 Å; angles 120.00, 90.00, 90.00 degrees
Positions (direct):
1 Ga 0.000 0.000 0.597
2 Ga 0.000 0.403 0.403
3 Ga 0.000 0.597 0.000
4 Nd 0.500 0.000 0.753
5 Nd 0.749 0.333 0.667
6 Nd 0.000 0.759 0.759
7 Nd 0.251 0.667 0.333
8 Nd 0.000 0.241 0.000
9 Nd 0.500 0.247 0.247
10 Nd 0.251 0.333 0.667
11 Nd 0.000 0.000 0.241
12 Nd 0.500 0.753 0.000
13 Nd 0.749 0.667 0.333
14 Ge 0.500 0.000 0.394
15 Ge 0.500 0.394 0.000
16 Ge 0.500 0.606 0.606

***

(4)
The following is a PBE-GGA calculation of a relaxed structure of Li2HAu, from the Alexandria database.

Properties
* N(E_F): 0.1855 states/eV/atom
* SG: Cm (8)
* energy above the most stable polymorph in this dataset: 0.021 eV per atom

Cell lengths 2.864, 2.864, 7.063 Å; angles 77.95, 77.95, 60.30 degrees
Positions (direct):
1 H 0.666 0.666 0.002
2 Au 0.502 0.502 0.500
3 Li 0.057 0.057 0.828
4 Li 0.276 0.276 0.171

***

(5)
The following is a PBE-GGA calculation of a relaxed structure of SmTi4SnO12, from the Alexandria database.

Properties
* N(E_F): 0.3819 states/eV/atom
* SG: Amm2 (38)
* formation energy (no corrections): -2610 meV/atom

Cell lengths 5.340, 5.340, 7.804 Å; angles 90.00, 90.00, 90.07 degrees
Last column: magnetic moment on the atom in μB.
Positions (direct):
1 Ti 0.008 0.498 0.253  -0.04
2 Ti 0.008 0.498 0.747  -0.04
3 Ti 0.498 0.008 0.253  -0.04
4 Ti 0.498 0.008 0.747  -0.04
5 O 0.695 0.302 0.736  0.11
6 O 0.596 0.996 0.000  0.04
7 O 0.302 0.695 0.736  0.11
8 O 0.996 0.596 0.000  0.04
9 O 0.451 0.047 0.500  0.12
10 O 0.782 0.782 0.711  0.11
11 O 0.695 0.302 0.264  0.11
12 O 0.169 0.169 0.180  0.01
13 O 0.047 0.451 0.500  0.12
14 O 0.302 0.695 0.264  0.11
15 O 0.169 0.169 0.820  0.01
16 O 0.782 0.782 0.289  0.11
17 Sm 0.533 0.533 0.500  -0.01
18 Sn 0.973 0.973 0.000  0.00

***

(6)
The following is a PBE-GGA calculation of a relaxed structure of La4HoEr8, from the Alexandria database.

Properties
* formation energy from the elements: 7.1 eV per formula unit
* N(E_F): 1.8462 states/eV/atom
* SG: R-3m (166)

Cell lengths 7.788, 7.788, 7.788 Å; angles 90.20, 90.20, 90.20 degrees
Last column: magnetic moment on the atom in μB.
Positions (direct):
1 La 0.000 0.500 0.500  0.27
2 La 0.000 0.000 0.000  0.05
3 La 0.500 0.500 0.000  0.27
4 La 0.500 0.000 0.500  0.27
5 Er 0.241 0.761 0.761  0.22
6 Er 0.759 0.239 0.239  0.22
7 Er 0.761 0.241 0.761  0.22
8 Er 0.239 0.239 0.759  0.22
9 Er 0.760 0.760 0.760  0.21
10 Er 0.761 0.761 0.241  0.22
11 Er 0.239 0.759 0.239  0.22
12 Er 0.240 0.240 0.240  0.21
13 Ho 0.500 0.500 0.500  0.13